<w>
Entry from OQMD: crystalline GdDyAlCo2 at its relaxed geometry (PBE).

Lattice parameters (Å, degrees): 3.927 6.864 6.864 31.79 90.00 90.00
Atoms (fractional coordinates):
Gd (0.000, 0.000, 0.000)
Dy (0.000, 0.267, 0.267)
Al (0.500, 0.634, 0.634)
Co (0.500, 0.431, 0.431)
Co (0.500, 0.833, 0.833)

<x>
Entry from OQMD: crystalline GdDyAlCo2 at its relaxed geometry (PBE).

Lattice parameters (Å, degrees): 5.385 5.385 5.385 135.99 119.12 78.12
Atoms (fractional coordinates):
Gd (0.000, 0.000, 0.000)
Dy (0.592, 0.592, 0.000)
Al (0.296, 0.796, 0.500)
Co (0.019, 0.295, 0.724)
Co (0.572, 0.295, 0.276)

Each structure's energy above the most stable one, in eV/atom: <w> 0.080; <x> 0.000.

<w>
Entry from OQMD: crystalline HoErAlCo2 at its relaxed geometry (PBE).

Lattice parameters (Å, degrees): 5.324 5.324 5.324 135.76 118.79 78.58
Atoms (fractional coordinates):
Ho (0.000, 0.000, 0.000)
Er (0.591, 0.591, 0.000)
Al (0.296, 0.796, 0.500)
Co (0.019, 0.296, 0.724)
Co (0.572, 0.296, 0.276)

<x>
Entry from OQMD: crystalline HoErAlCo2 at its relaxed geometry (PBE).

Lattice parameters (Å, degrees): 3.843 6.807 6.807 32.01 90.00 90.00
Atoms (fractional coordinates):
Ho (0.000, 0.000, 0.000)
Er (0.000, 0.730, 0.730)
Al (0.500, 0.365, 0.365)
Co (0.500, 0.166, 0.166)
Co (0.500, 0.566, 0.566)

Each structure's energy above the most stable one, in eV/atom: <w> 0.000; <x> 0.090.

<w>
Entry from OQMD: crystalline AlFeCoS4 at its relaxed geometry (PBE).

Lattice parameters (Å, degrees): 6.788 6.788 9.583 90.00 90.00 90.00
Atoms (fractional coordinates):
Al (0.249, 0.249, 0.375)
Al (0.249, 0.751, 0.125)
Al (0.751, 0.249, 0.625)
Al (0.751, 0.751, 0.875)
Fe (0.000, 0.251, 0.000)
Fe (0.000, 0.749, 0.500)
Fe (0.251, 0.000, 0.750)
Fe (0.749, 0.000, 0.250)
Co (0.251, 0.500, 0.750)
Co (0.500, 0.251, 0.000)
Co (0.500, 0.749, 0.500)
Co (0.749, 0.500, 0.250)
S (0.029, 0.249, 0.764)
S (0.029, 0.751, 0.736)
S (0.249, 0.029, 0.986)
S (0.249, 0.473, 0.986)
S (0.249, 0.527, 0.514)
S (0.249, 0.971, 0.514)
S (0.473, 0.249, 0.764)
S (0.473, 0.751, 0.736)
S (0.527, 0.249, 0.236)
S (0.527, 0.751, 0.264)
S (0.751, 0.029, 0.014)
S (0.751, 0.473, 0.014)
S (0.751, 0.527, 0.486)
S (0.751, 0.971, 0.486)
S (0.971, 0.249, 0.236)
S (0.971, 0.751, 0.264)

<x>
Entry from OQMD: crystalline AlFeCoS4 at its relaxed geometry (PBE).

Lattice parameters (Å, degrees): 6.832 6.832 9.583 90.00 90.00 90.00
Atoms (fractional coordinates):
Al (0.000, 0.256, 0.000)
Al (0.000, 0.744, 0.500)
Al (0.256, 0.000, 0.750)
Al (0.744, 0.000, 0.250)
Fe (0.263, 0.500, 0.750)
Fe (0.500, 0.263, 0.000)
Fe (0.500, 0.737, 0.500)
Fe (0.737, 0.500, 0.250)
Co (0.248, 0.248, 0.375)
Co (0.248, 0.752, 0.125)
Co (0.752, 0.248, 0.625)
Co (0.752, 0.752, 0.875)
S (0.023, 0.262, 0.752)
S (0.023, 0.738, 0.748)
S (0.260, 0.493, 0.990)
S (0.260, 0.507, 0.510)
S (0.262, 0.023, 0.998)
S (0.262, 0.977, 0.502)
S (0.493, 0.260, 0.760)
S (0.493, 0.740, 0.740)
S (0.507, 0.260, 0.240)
S (0.507, 0.740, 0.260)
S (0.738, 0.023, 0.002)
S (0.738, 0.977, 0.498)
S (0.740, 0.493, 0.010)
S (0.740, 0.507, 0.490)
S (0.977, 0.262, 0.248)
S (0.977, 0.738, 0.252)

<y>
Entry from OQMD: crystalline AlFeCoS4 at its relaxed geometry (PBE).

Lattice parameters (Å, degrees): 6.896 6.896 9.678 90.00 90.00 90.00
Atoms (fractional coordinates):
Al (0.000, 0.255, 0.000)
Al (0.000, 0.745, 0.500)
Al (0.255, 0.000, 0.750)
Al (0.745, 0.000, 0.250)
Fe (0.253, 0.253, 0.375)
Fe (0.253, 0.747, 0.125)
Fe (0.747, 0.253, 0.625)
Fe (0.747, 0.747, 0.875)
Co (0.255, 0.500, 0.750)
Co (0.500, 0.255, 0.000)
Co (0.500, 0.745, 0.500)
Co (0.745, 0.500, 0.250)
S (0.024, 0.261, 0.753)
S (0.024, 0.739, 0.747)
S (0.261, 0.024, 0.997)
S (0.261, 0.976, 0.503)
S (0.263, 0.483, 0.986)
S (0.263, 0.517, 0.514)
S (0.483, 0.263, 0.764)
S (0.483, 0.737, 0.736)
S (0.517, 0.263, 0.236)
S (0.517, 0.737, 0.264)
S (0.737, 0.483, 0.014)
S (0.737, 0.517, 0.486)
S (0.739, 0.024, 0.003)
S (0.739, 0.976, 0.497)
S (0.976, 0.261, 0.247)
S (0.976, 0.739, 0.253)

Each structure's energy above the most stable one, in eV/atom: <w> 0.056; <x> 0.045; <y> 0.000.